No. 1
Below is an optimized crystal structure of La2CdCo2, with properties calculated at the PBE-GGA level.

a = 4.1304 Å, b = 4.0003 Å, c = 7.3935 Å
α = 105.70°, β = 90.00°, γ = 90.00°
Closest atoms and distances in Å follow each position.
Fractional coordinates of all 5 atoms:
La: 0.5000 0.6359 0.2718  6 Co 2.99-3.07
La: 0.5000 0.3641 0.7282  6 Co 2.99-3.07
Co: 0.0000 0.7878 0.5756  2 Co 2.27
Co: 0.0000 0.2122 0.4244  2 Co 2.27
Cd: 0.0000 0.0000 0.0000  2 Co 3.02

Results
- E_tot (eV per cell) = -25.95
- M_tot (μB/f.u.) = 1.6
- energy of formation from the pure elements (eV/atom) = -0.193


No. 2
Below is an optimized crystal structure of La8Cd3Co2, with properties calculated at the PBE-GGA level.

a = 4.0645 Å, b = 11.1204 Å, c = 10.2042 Å
α = 123.02°, β = 102.39°, γ = 90.00°
Closest atoms and distances in Å follow each position.
Fractional coordinates of all 13 atoms:
La: 0.7497 0.8224 0.6447  1 Co 2.56
La: 0.7051 0.4250 0.3263  1 Co 3.03, 2 La 3.20-3.32, 1 Cd 3.34
La: 0.2949 0.5750 0.6737  1 Co 3.03, 2 La 3.20-3.32, 1 Cd 3.34
La: 0.2503 0.1776 0.3553  1 Co 2.56
La: 0.7051 0.9013 0.3263  1 Co 3.03, 2 La 3.20-3.32, 1 Cd 3.34
La: 0.2898 0.5932 0.1864  1 Co 2.41
La: 0.2949 0.0987 0.6737  1 Co 3.03, 2 La 3.20-3.32, 1 Cd 3.34
La: 0.7102 0.4068 0.8136  1 Co 2.41
Co: 0.9368 0.2896 0.5793  2 La 2.41-2.56
Co: 0.0632 0.7104 0.4207  2 La 2.41-2.56
Cd: 0.0000 0.7820 0.0000  2 Cd 3.16, 4 La 3.34-3.49
Cd: 0.0000 0.2180 0.0000  2 Cd 3.16, 4 La 3.34-3.49
Cd: 0.5000 0.0000 0.0000  4 Cd 3.16, 2 La 3.44

Results
- E_tot (eV per cell) = -57.97
- M_tot (μB/f.u.) = 0.0
- energy of formation from the pure elements (eV/atom) = -0.123